# Cd2RuRh, relaxed, DFT PBE-GGA
data_Cd2RuRh
_space_group_name_H-M_alt 'P 1'
_space_group_IT_number 1
_space_group_name_Hall 'P 1'
_cell_length_a 4.886
_cell_length_b 4.886
_cell_length_c 5.072
_cell_angle_alpha 99.58
_cell_angle_beta 99.58
_cell_angle_gamma 34.33
loop_
_atom_site_label
_atom_site_fract_x
_atom_site_fract_y
_atom_site_fract_z
Cd1 0.249 0.249 0.249
Cd2 0.751 0.751 0.751
Ru1 0.000 0.000 0.500
Rh1 0.500 0.500 0.000
# Symmetry: C2/m (12)
# ΔE_f, eV per atom: 0.229
# Total energy, eV per cell: -17.5
# Total magnetic moment, Bohr magnetons per cell: 0.7


# Cd2RuRh, relaxed, DFT PBE-GGA
data_Cd2RuRh
_space_group_name_H-M_alt 'P 1'
_space_group_IT_number 1
_space_group_name_Hall 'P 1'
_cell_length_a 9.782
_cell_length_b 9.782
_cell_length_c 9.782
_cell_angle_alpha 16.85
_cell_angle_beta 16.85
_cell_angle_gamma 16.85
loop_
_atom_site_label
_atom_site_fract_x
_atom_site_fract_y
_atom_site_fract_z
Cd1 0.000 0.000 0.000
Cd2 0.236 0.236 0.236
Ru1 0.486 0.486 0.486
Rh1 0.749 0.749 0.749
# Symmetry: R3m (160)
# ΔE_f, eV per atom: 0.159
# Total energy, eV per cell: -17.8
# Total magnetic moment, Bohr magnetons per cell: 0.0


# Cd2RuRh, relaxed, DFT PBE-GGA
data_Cd2RuRh
_space_group_name_H-M_alt 'P 1'
_space_group_IT_number 1
_space_group_name_Hall 'P 1'
_cell_length_a 2.833
_cell_length_b 2.833
_cell_length_c 9.295
_cell_angle_alpha 90.00
_cell_angle_beta 90.00
_cell_angle_gamma 114.69
loop_
_atom_site_label
_atom_site_fract_x
_atom_site_fract_y
_atom_site_fract_z
Cd1 0.000 0.000 0.247
Cd2 0.000 0.000 0.753
Ru1 0.500 0.500 0.500
Rh1 0.500 0.500 0.000
# Symmetry: Cmmm (65)
# ΔE_f, eV per atom: 0.274
# Total energy, eV per cell: -17.4
# Total magnetic moment, Bohr magnetons per cell: 0.9


Look up the total magnetic moment of the first one. 0.7 Bohr magnetons per cell


Look up the total energy of the second one. -17.8 eV per cell


Look up the ΔE_f of the first one. 0.229 eV per atom


Look up the ΔE_f of the third one. 0.274 eV per atom